! GaAg3As | Alexandria | SCAN | single point on PBEsol structure; values from VASP
! * formation energy from the elements: 3.55 eV per formula unit
&SYSTEM
  ibrav = 0, nat = 5, ntyp = 3
/
ATOMIC_SPECIES
As 74.92 As.upf
Ga 69.72 Ga.upf
Ag 107.87 Ag.upf
ATOMIC_POSITIONS crystal
As 0.500 0.500 0.500
Ga 0.000 0.000 0.000
Ag 0.000 0.500 0.000
Ag 0.000 0.000 0.500
Ag 0.500 0.000 0.000
CELL_PARAMETERS angstrom
-4.560 0.066 1.290
0.937 -3.091 3.469
0.889 3.593 2.961

! AgPt3 | Alexandria | SCAN | single point on PBEsol structure; values from VASP
! * formation energy from the elements: 0.28 eV per formula unit
&SYSTEM
  ibrav = 0, nat = 8, ntyp = 2
/
ATOMIC_SPECIES
Pt 195.08 Pt.upf
Ag 107.87 Ag.upf
ATOMIC_POSITIONS crystal
Pt 0.750 0.079 0.842
Pt 0.750 0.067 0.348
Pt 0.750 0.584 0.348
Pt 0.250 0.921 0.158
Pt 0.250 0.933 0.652
Pt 0.250 0.416 0.652
Ag 0.750 0.575 0.849
Ag 0.250 0.425 0.151
CELL_PARAMETERS angstrom
4.615 0.000 0.000
0.000 5.514 0.000
0.000 2.757 4.817

! GaPPt5 | Alexandria | SCAN | single point on PBEsol structure; values from VASP
! * formation energy from the elements: -3.48 eV per formula unit
&SYSTEM
  ibrav = 0, nat = 7, ntyp = 3
/
ATOMIC_SPECIES
P 30.97 P.upf
Ga 69.72 Ga.upf
Pt 195.08 Pt.upf
ATOMIC_POSITIONS crystal
P 0.000 0.000 0.500
Ga 0.500 0.500 0.000
Pt 0.000 0.500 0.290
Pt 0.000 0.500 0.710
Pt 0.500 0.000 0.290
Pt 0.500 0.000 0.710
Pt 0.000 0.000 0.000
CELL_PARAMETERS angstrom
3.896 0.000 0.000
0.000 3.896 0.000
0.000 0.000 6.841

! AlCrP | Alexandria | SCAN | single point on PBEsol structure; values from VASP
! * formation energy from the elements: -1.21 eV per formula unit
&SYSTEM
  ibrav = 0, nat = 3, ntyp = 3
/
ATOMIC_SPECIES
Cr 52.00 Cr.upf
Al 26.98 Al.upf
P 30.97 P.upf
ATOMIC_POSITIONS crystal
Cr 0.685 0.685 0.371
Al 0.000 0.000 0.000
P 0.315 0.315 0.629
CELL_PARAMETERS angstrom
3.016 0.000 0.000
0.000 3.016 0.000
-1.508 -1.508 3.989

! Mg2TeOs | Alexandria | SCAN | single point on PBEsol structure; values from VASP
! * ΔE_f (raw): -0.021 eV per atom
&SYSTEM
  ibrav = 0, nat = 4, ntyp = 3
/
ATOMIC_SPECIES
Mg 24.30 Mg.upf
Os 190.23 Os.upf
Te 127.60 Te.upf
ATOMIC_POSITIONS crystal
Mg 0.989 0.989 0.978
Mg 0.821 0.321 0.642
Os 0.508 0.508 0.016
Te 0.182 0.682 0.364
CELL_PARAMETERS angstrom
3.097 0.000 0.000
0.000 4.479 0.000
-1.548 -2.239 6.107

! B12Pb6O25 | Alexandria | SCAN | single point on PBEsol structure; values from VASP
! * ΔE_f (raw): -2.137 eV per atom
&SYSTEM
  ibrav = 0, nat = 43, ntyp = 3
/
ATOMIC_SPECIES
B 10.81 B.upf
Pb 207.20 Pb.upf
O 16.00 O.upf
ATOMIC_POSITIONS crystal
B 0.732 0.268 0.500
B 0.500 0.732 0.268
B 0.268 0.500 0.732
B 0.732 0.500 0.268
B 0.268 0.732 0.500
B 0.500 0.268 0.732
B 0.395 0.968 0.395
B 0.395 0.395 0.968
B 0.968 0.395 0.395
B 0.605 0.032 0.605
B 0.605 0.605 0.032
B 0.032 0.605 0.605
Pb 0.205 0.205 0.588
Pb 0.588 0.205 0.205
Pb 0.205 0.588 0.205
Pb 0.795 0.795 0.412
Pb 0.412 0.795 0.795
Pb 0.795 0.412 0.795
O 0.500 0.896 0.287
O 0.287 0.500 0.896
O 0.896 0.287 0.500
O 0.500 0.287 0.896
O 0.896 0.500 0.287
O 0.287 0.896 0.500
O 0.500 0.104 0.713
O 0.713 0.500 0.104
O 0.104 0.713 0.500
O 0.500 0.713 0.104
O 0.104 0.500 0.713
O 0.713 0.104 0.500
O 0.646 0.646 0.317
O 0.317 0.646 0.646
O 0.646 0.317 0.646
O 0.354 0.354 0.683
O 0.683 0.354 0.354
O 0.354 0.683 0.354
O 0.396 0.124 0.396
O 0.396 0.396 0.124
O 0.124 0.396 0.396
O 0.604 0.876 0.604
O 0.604 0.604 0.876
O 0.876 0.604 0.604
O 0.500 0.500 0.500
CELL_PARAMETERS angstrom
-3.076 7.412 -3.644
-8.553 -2.099 -0.343
-2.703 4.097 7.320

! ReAs2SeCl | Alexandria | SCAN | single point on PBEsol structure; values from VASP
! * ΔE_f (raw): 1.918 eV per atom
&SYSTEM
  ibrav = 0, nat = 5, ntyp = 4
/
ATOMIC_SPECIES
Re 186.21 Re.upf
As 74.92 As.upf
Se 78.96 Se.upf
Cl 35.45 Cl.upf
ATOMIC_POSITIONS crystal
Re 0.500 0.500 0.500
As 0.000 0.500 0.000
As 0.500 0.000 0.000
Se 0.000 0.000 0.500
Cl 0.000 0.000 0.000
CELL_PARAMETERS angstrom
-2.925 3.195 1.627
0.391 -1.803 4.244
3.511 2.778 0.857

! AlRhBr2 | Alexandria | SCAN | single point on PBEsol structure; values from VASP
! * ΔE_f (raw): 0.390 eV per atom
! * excess energy over the best structure of this formula in the dataset: 184.2 meV/atom
&SYSTEM
  ibrav = 0, nat = 4, ntyp = 3
/
ATOMIC_SPECIES
Rh 102.91 Rh.upf
Al 26.98 Al.upf
Br 79.90 Br.upf
ATOMIC_POSITIONS crystal
Rh 0.500 0.500 0.000
Al 0.250 0.750 0.500
Br 0.000 0.000 0.000
Br 0.750 0.250 0.500
CELL_PARAMETERS angstrom
-0.549 1.983 -3.157
-3.198 1.389 1.428
4.670 2.529 3.027

The total magnetization results, record by record, are as follows: 0.00, 0.01, 0.00, 0.00, 0.00, 2.00, 2.08, 0.00 μB/f.u..
The VASP energy results, record by record, are as follows: -25.419, -60.416, -54.456, -12.581, -29.791, -18.407, -25.989, -19.721 eV/atom.